(1)
## Ta3Mo4 (GGA-PBEsol)

Data for an optimized crystal structure of Ta3Mo4.

total energy	-85.494	eV/f.u.
calculated formation energy	-109.9	meV per atom

Geometry as CIF:
```
data_Ta3Mo4
_chemical_formula_sum 'Ta6 Mo8'
_space_group_name_H-M_alt 'C 1 2/m 1'
_space_group_IT_number 12
_cell_length_a 9.472
_cell_length_b 4.536
_cell_length_c 5.287
_cell_angle_alpha 90.00
_cell_angle_beta 95.77
_cell_angle_gamma 90.00
loop_
_space_group_symop_operation_xyz
'x,y,z'
'-x,-y,-z'
'-x,y,-z'
'x,-y,z'
'x+1/2,y+1/2,z'
'-x+1/2,-y+1/2,-z'
'-x+1/2,y+1/2,-z'
'x+1/2,-y+1/2,z'
loop_
_atom_site_label
_atom_site_type_symbol
_atom_site_fract_x
_atom_site_fract_y
_atom_site_fract_z
Ta1 Ta 0.000 0.000 0.000
Ta2 Ta 0.074 0.500 0.285
Mo1 Mo 0.141 0.000 0.571
Mo2 Mo 0.214 0.500 0.852
```

=====

(2)
## TaMo2 (GGA-PBEsol)

Data for an optimized crystal structure of TaMo2.

total energy	-36.353	eV/f.u.
calculated formation energy	-88.6	meV per atom

Geometry as CIF:
```
data_TaMo2
_chemical_formula_sum 'Ta2 Mo4'
_space_group_name_H-M_alt 'P 1 21/m 1'
_space_group_IT_number 11
_cell_length_a 2.763
_cell_length_b 4.480
_cell_length_c 7.737
_cell_angle_alpha 90.00
_cell_angle_beta 90.35
_cell_angle_gamma 90.00
loop_
_space_group_symop_operation_xyz
'x,y,z'
'-x,-y,-z'
'-x,y+1/2,-z'
'x,-y+1/2,z'
loop_
_atom_site_label
_atom_site_type_symbol
_atom_site_fract_x
_atom_site_fract_y
_atom_site_fract_z
Ta1 Ta 0.175 0.250 0.412
Mo1 Mo 0.170 0.750 0.920
Mo2 Mo 0.500 0.250 0.756
```

=====

(3)
## Ta3Mo5 (GGA-PBEsol)

Data for an optimized crystal structure of Ta3Mo5.

offset from the most stable computed form	0.0626	eV/atom
total energy	-97.304	eV/f.u.
calculated formation energy	-101.5	meV per atom

Geometry as CIF:
```
data_Ta3Mo5
_chemical_formula_sum 'Ta3 Mo5'
_space_group_name_H-M_alt 'P 1 2/m 1'
_space_group_IT_number 10
_cell_length_a 5.276
_cell_length_b 4.515
_cell_length_c 5.474
_cell_angle_alpha 90.00
_cell_angle_beta 100.20
_cell_angle_gamma 90.00
loop_
_space_group_symop_operation_xyz
'x,y,z'
'-x,-y,-z'
'-x,y,-z'
'x,-y,z'
loop_
_atom_site_label
_atom_site_type_symbol
_atom_site_fract_x
_atom_site_fract_y
_atom_site_fract_z
Ta1 Ta 0.000 0.000 0.000
Ta2 Ta 0.248 0.500 0.870
Mo1 Mo 0.000 0.000 0.500
Mo2 Mo 0.254 0.500 0.375
Mo3 Mo 0.500 0.000 0.251
```

=====

(4)
## TaMo2 (GGA-PBEsol)

Data for an optimized crystal structure of TaMo2.

total energy	-36.392	eV/f.u.
calculated formation energy	-101.7	meV per atom

Geometry as CIF:
```
data_TaMo2
_chemical_formula_sum 'Ta2 Mo4'
_space_group_name_H-M_alt 'P -1'
_space_group_IT_number 2
_cell_length_a 2.772
_cell_length_b 5.239
_cell_length_c 6.896
_cell_angle_alpha 77.82
_cell_angle_beta 82.19
_cell_angle_gamma 79.75
loop_
_space_group_symop_operation_xyz
'x,y,z'
'-x,-y,-z'
loop_
_atom_site_label
_atom_site_type_symbol
_atom_site_fract_x
_atom_site_fract_y
_atom_site_fract_z
Ta1 Ta 0.088 0.085 0.170
Mo1 Mo 0.257 0.252 0.499
Mo2 Mo 0.420 0.418 0.830
```

=====

(5)
## TaMo2 (GGA-PBEsol)

Data for an optimized crystal structure of TaMo2.

total energy	-36.388	eV/f.u.
calculated formation energy	-100.5	meV per atom

Geometry as CIF:
```
data_TaMo2
_chemical_formula_sum 'Ta2 Mo4'
_space_group_name_H-M_alt 'P 1 2/m 1'
_space_group_IT_number 10
_cell_length_a 2.759
_cell_length_b 4.464
_cell_length_c 7.770
_cell_angle_alpha 90.00
_cell_angle_beta 90.22
_cell_angle_gamma 90.00
loop_
_space_group_symop_operation_xyz
'x,y,z'
'-x,-y,-z'
'-x,y,-z'
'x,-y,z'
loop_
_atom_site_label
_atom_site_type_symbol
_atom_site_fract_x
_atom_site_fract_y
_atom_site_fract_z
Ta1 Ta 0.175 0.000 0.329
Mo1 Mo 0.168 0.500 0.837
Mo2 Mo 0.500 0.000 0.000
Mo3 Mo 0.500 0.500 0.500
```

=====

(6)
## TaMo7 (GGA-PBEsol)

Data for an optimized crystal structure of TaMo7.

offset from the most stable computed form	0.0006	eV/atom
total energy	-95.425	eV/f.u.
calculated formation energy	-62.4	meV per atom

Geometry as CIF:
```
data_TaMo7
_chemical_formula_sum 'Ta2 Mo14'
_space_group_name_H-M_alt 'I m m m'
_space_group_IT_number 71
_space_group_name_Hall '-I 2 2'
_cell_length_a 3.144
_cell_length_b 4.443
_cell_length_c 17.790
_cell_angle_alpha 90.00
_cell_angle_beta 90.00
_cell_angle_gamma 90.00
loop_
_atom_site_label
_atom_site_type_symbol
_atom_site_fract_x
_atom_site_fract_y
_atom_site_fract_z
Ta1 Ta 0.000 0.000 0.000
Mo1 Mo 0.000 0.000 0.250
Mo2 Mo 0.000 0.000 0.500
Mo3 Mo 0.000 0.500 0.125
Mo4 Mo 0.000 0.500 0.372
```

=====

(7)
## Ta3Mo4 (GGA-PBEsol)

Data for an optimized crystal structure of Ta3Mo4.

total energy	-85.428	eV/f.u.
calculated formation energy	-100.4	meV per atom

Geometry as CIF:
```
data_Ta3Mo4
_chemical_formula_sum 'Ta3 Mo4'
_space_group_name_H-M_alt 'P -1'
_space_group_IT_number 2
_cell_length_a 2.782
_cell_length_b 6.894
_cell_length_c 6.898
_cell_angle_alpha 117.88
_cell_angle_beta 97.04
_cell_angle_gamma 98.05
loop_
_space_group_symop_operation_xyz
'x,y,z'
'-x,-y,-z'
loop_
_atom_site_label
_atom_site_type_symbol
_atom_site_fract_x
_atom_site_fract_y
_atom_site_fract_z
Ta1 Ta 0.000 0.000 0.000
Ta2 Ta 0.417 0.716 0.568
Mo1 Mo 0.145 0.569 0.860
Mo2 Mo 0.286 0.146 0.717
```

=====

(8)
## Ta3Mo (GGA-PBEsol)

Data for an optimized crystal structure of Ta3Mo.

offset from the most stable computed form	0.0255	eV/atom
total energy	-49.736	eV/f.u.
calculated formation energy	-78.8	meV per atom

Geometry as CIF:
```
data_Ta3Mo
_chemical_formula_sum 'Ta6 Mo2'
_space_group_name_H-M_alt 'P -1'
_space_group_IT_number 2
_cell_length_a 5.368
_cell_length_b 5.388
_cell_length_c 5.583
_cell_angle_alpha 99.70
_cell_angle_beta 100.20
_cell_angle_gamma 117.19
loop_
_space_group_symop_operation_xyz
'x,y,z'
'-x,-y,-z'
loop_
_atom_site_label
_atom_site_type_symbol
_atom_site_fract_x
_atom_site_fract_y
_atom_site_fract_z
Ta1 Ta 0.001 0.258 0.126
Ta2 Ta 0.489 0.251 0.872
Ta3 Ta 0.490 0.750 0.623
Mo1 Mo 0.001 0.244 0.624
```

=====

Q: What is the formula in the second record?
A: TaMo2

=====

Q: Which formula does entry 5 have?
A: TaMo2

=====

Q: Look up the calculated formation energy of the sixth one.
A: -62.4 meV per atom

=====

Q: Which of these has the lowest calculated formation energy?
A: number 1